Entry 1:
Material: RbSr2CaZn
Method: DFT, PBE-GGA
State: optimized geometry

Cell lengths 6.356, 6.356, 6.143 Å; angles 90.00, 90.00, 90.00 degrees
Sites, in units of the cell vectors:
1 Rb 0.000 0.000 0.000
2 Sr 0.000 0.500 0.500
3 Sr 0.500 0.000 0.500
4 Ca 0.500 0.500 0.000
5 Zn 0.500 0.500 0.500

## Properties
The calculation puts the formation energy from the elements at 34 meV per atom. The space group is P4/mmm (123).



Entry 2:
Material: K2CuRh
Method: DFT, PBE-GGA
State: optimized geometry

Cell lengths 3.476, 3.467, 9.819 Å; angles 90.00, 90.98, 90.00 degrees
Sites, in units of the cell vectors:
1 K 0.000 0.000 0.000
2 K 0.474 0.500 0.443
3 Cu 0.984 0.000 0.690
4 Rh 0.487 0.500 0.751

## Properties
The calculation puts the formation energy from the elements at 363 meV per atom. The space group is Pm (6). The offset from the most stable computed form is 5 meV per atom.



Entry 3:
Material: Hf6SbP2
Method: DFT, PBE-GGA
State: optimized geometry

Cell lengths 5.678, 5.678, 8.444 Å; angles 121.11, 121.11, 54.28 degrees
Sites, in units of the cell vectors:
1 Hf 0.080 0.080 0.405
2 Hf 0.316 0.316 0.944
3 Hf 0.340 0.340 0.323
4 Hf 0.660 0.660 0.677
5 Hf 0.684 0.684 0.056
6 Hf 0.920 0.920 0.595
7 Sb 0.000 0.000 0.000
8 P 0.398 0.398 0.683
9 P 0.602 0.602 0.317

## Properties
The value obtained for the raw formation energy is -0.5533 eV per atom. The space group is C2/m (12).